Entry 1:
## Y2ScCuRh (GGA-PBEsol)

Data for a relaxed structure of Y2ScCuRh.

The structure in POSCAR format:
```
Y2ScCuRh
1.0
5.0658 0.0000 0.0000
0.0000 5.0658 0.0000
0.0000 0.0000 4.6327
Y Sc Cu Rh
2 1 1 1
Direct
0.0000 0.5000 0.0000 Y
0.5000 0.0000 0.0000 Y
0.0000 0.0000 0.5000 Sc
0.5000 0.5000 0.0000 Cu
0.5000 0.5000 0.5000 Rh
```

Calculated values
The formation energy comes out at 0.258 eV/atom. The space-group type is P4/mmm, No. 123. The calculation puts the raw total energy at -6.286 eV per atom. The value obtained for the volume is 118.9 Å³/f.u.

Entry 2:
## YNiRh2 (GGA-PBEsol)

Data for a relaxed structure of YNiRh2.

The structure in POSCAR format:
```
YNiRh2
1.0
0.0000 3.1330 3.1330
3.1330 0.0000 3.1330
3.1330 3.1330 0.0000
Y Ni Rh
1 1 2
Direct
0.0000 0.0000 0.0000 Y
0.5000 0.5000 0.5000 Ni
0.2500 0.2500 0.2500 Rh
0.7500 0.7500 0.7500 Rh
```

Calculated values
The formation energy comes out at -0.211 eV/atom. The space-group type is Fm-3m, No. 225. The calculation puts the raw total energy at -7.526 eV per atom. The value obtained for the volume is 61.5 Å³/f.u.

Entry 3:
## LiMo3 (GGA-PBEsol)

Data for a relaxed structure of LiMo3.

The structure in POSCAR format:
```
LiMo3
1.0
3.8568 0.0000 0.0000
0.0000 3.8568 0.0000
0.0000 0.0000 3.8568
Li Mo
1 3
Direct
0.0000 0.0000 0.0000 Li
0.0000 0.5000 0.5000 Mo
0.5000 0.0000 0.5000 Mo
0.5000 0.5000 0.0000 Mo
```

Calculated values
The formation energy comes out at 0.453 eV/atom. The space-group type is Pm-3m, No. 221. The calculation puts the raw total energy at -8.865 eV per atom. The value obtained for the volume is 57.4 Å³/f.u. As for the distance to the lowest polymorph of the same formula: 0.72 eV per formula unit.